Below is a relaxed CdRh crystal, with properties calculated at the GGA-PBE level.

**Total magnetization**: 0.14 μB/cell
**SG**: P-3m1, No. 164
**Crystal system**: trigonal
**Energy**: -4.05 eV per atom

Cell lengths 2.9012, 2.9012, 9.4485 Å; angles 90.00, 90.00, 120.00 degrees
Last column: nearest neighbours and their distance in Å.
Element x y z (fractional)
Rh (0.3333, 0.6667, 0.3901)  9 Rh 2.67-2.90, 3 Cd 2.86
Cd (0.6667, 0.3333, 0.1448)  3 Rh 2.86, 6 Cd 2.90
Rh (0.6667, 0.3333, 0.6099)  9 Rh 2.67-2.90, 3 Cd 2.86
Cd (0.3333, 0.6667, 0.8552)  3 Rh 2.86, 6 Cd 2.90

---

Below is a relaxed CaHfRe4 crystal, with properties calculated at the GGA-PBE level.

**Total magnetization**: 0.00 μB/cell
**SG**: F-43m, No. 216
**Crystal system**: cubic
**Energy**: -10.33 eV per atom

Cell lengths 5.3411, 5.3411, 5.3411 Å; angles 60.00, 60.00, 60.00 degrees
Last column: nearest neighbours and their distance in Å.
Element x y z (fractional)
Ca (0.2500, 0.2500, 0.2500)  12 Re 3.13, 4 Hf 3.27
Hf (0.0000, 0.0000, 0.0000)  12 Re 3.13, 4 Ca 3.27
Re (0.6252, 0.6252, 0.6252)  6 Re 2.67
Re (0.1245, 0.6252, 0.6252)  6 Re 2.67
Re (0.6252, 0.6252, 0.1245)  6 Re 2.67
Re (0.6252, 0.1245, 0.6252)  6 Re 2.67